This record from Alexandria via LeMat-Bulk describes a geometry-optimized LiY2NiPb structure. The functional is PBE.

Energy relative to the elements in eV/atom: -0.211
Uncorrected energy in eV/atom: -5.078

a b c (Å): 5.1918 5.1918 4.6243
angles (deg): 90.00 90.00 90.00
Fractional coordinates of all 5 atoms:
1 Pb 0.5000 0.5000 0.5000
2 Y 0.0000 0.5000 0.0000
3 Y 0.5000 0.0000 0.0000
4 Li 0.0000 0.0000 0.5000
5 Ni 0.0000 0.0000 0.0000